## SrCaSm (GGA-PBE)

Data for SrCaSm after structural relaxation.

Calculated values
Symmetry ... No. 38
Polymorph energy (0 for the lowest one) ... 3.7 kJ per mole of atoms

a = 19.309 Å, b = 3.861 Å, c = 3.861 Å
α = 60.03°, β = 90.00°, γ = 90.00°
Fractional coordinates of all 6 atoms:
1 Sr 0.177 0.000 0.000
2 Sr 0.823 0.000 0.000
3 Ca 0.000 0.667 0.667
4 Ca 0.500 0.998 0.998
5 Sm 0.344 0.665 0.665
6 Sm 0.656 0.665 0.665

---

## HgMo2Os (GGA-PBE)

Data for HgMo2Os after structural relaxation.

Calculated values
Symmetry ... No. 166

a = 9.660 Å, b = 9.660 Å, c = 9.660 Å
α = 16.89°, β = 16.89°, γ = 16.89°
Fractional coordinates of all 4 atoms:
1 Hg 0.000 0.000 0.000
2 Mo 0.244 0.244 0.244
3 Mo 0.756 0.756 0.756
4 Os 0.500 0.500 0.500

---

## Dy5PuSb6 (GGA-PBE)

Data for Dy5PuSb6 after structural relaxation.

Calculated values
Formation energy (no corrections) ... -100.0 kJ per mole of atoms
Symmetry ... No. 12

a = 7.608 Å, b = 7.608 Å, c = 7.609 Å
α = 99.60°, β = 99.60°, γ = 119.98°
Fractional coordinates of all 12 atoms:
1 Dy 0.000 0.000 0.000
2 Dy 0.167 0.833 0.500
3 Dy 0.334 0.666 0.000
4 Dy 0.666 0.334 0.000
5 Dy 0.833 0.167 0.500
6 Pu 0.500 0.500 0.500
7 Sb 0.082 0.416 0.249
8 Sb 0.249 0.249 0.750
9 Sb 0.416 0.082 0.249
10 Sb 0.584 0.918 0.751
11 Sb 0.751 0.751 0.250
12 Sb 0.918 0.584 0.751

---

## K2NbF6 (GGA-PBE)

Data for K2NbF6 after structural relaxation.

Calculated values
Formation energy (no corrections) ... -286.4 kJ per mole of atoms
Symmetry ... No. 136

a = 5.575 Å, b = 5.575 Å, c = 11.512 Å
α = 90.00°, β = 90.00°, γ = 90.00°
Fractional coordinates of all 18 atoms:
1 K 0.000 0.000 0.166
2 K 0.000 0.000 0.834
3 K 0.500 0.500 0.334
4 K 0.500 0.500 0.666
5 Nb 0.000 0.000 0.500
6 Nb 0.500 0.500 0.000
7 F 0.173 0.173 0.368
8 F 0.173 0.173 0.632
9 F 0.249 0.249 0.000
10 F 0.251 0.749 0.500
11 F 0.327 0.673 0.132
12 F 0.327 0.673 0.868
13 F 0.673 0.327 0.132
14 F 0.673 0.327 0.868
15 F 0.749 0.251 0.500
16 F 0.751 0.751 0.000
17 F 0.827 0.827 0.368
18 F 0.827 0.827 0.632

---

## UGe2Os (GGA-PBE)

Data for UGe2Os after structural relaxation.

Calculated values
Symmetry ... No. 123

a = 3.083 Å, b = 3.083 Å, c = 7.344 Å
α = 90.00°, β = 90.00°, γ = 90.00°
Fractional coordinates of all 4 atoms:
1 U 0.000 0.000 0.000
2 Ge 0.500 0.500 0.295
3 Ge 0.500 0.500 0.705
4 Os 0.000 0.000 0.500

---

## Nd3TmSc3 (GGA-PBE)

Data for Nd3TmSc3 after structural relaxation.

Calculated values
Symmetry ... No. 176
Polymorph energy (0 for the lowest one) ... 0.0 kJ per mole of atoms

a = 9.353 Å, b = 9.353 Å, c = 5.538 Å
α = 90.00°, β = 90.00°, γ = 120.00°
Fractional coordinates of all 14 atoms:
1 Nd 0.095 0.463 0.250
2 Nd 0.369 0.905 0.250
3 Nd 0.463 0.369 0.750
4 Nd 0.537 0.631 0.250
5 Nd 0.631 0.095 0.750
6 Nd 0.905 0.537 0.750
7 Tm 0.333 0.667 0.750
8 Tm 0.667 0.333 0.250
9 Sc 0.043 0.224 0.750
10 Sc 0.181 0.957 0.750
11 Sc 0.224 0.181 0.250
12 Sc 0.776 0.819 0.750
13 Sc 0.819 0.043 0.250
14 Sc 0.957 0.776 0.250

---

| no. | E (eV per cell) | DOS(E_F) (states/eV/cell) | total moment (μB/f.u.) |
| --- | --- | --- | --- |
| 1 | -16.03 | 9.7 | 0.448 |
| 2 | -31.72 | 3.1 | 0.000 |
| 3 | -74.51 | 17.3 | 5.046 |
| 4 | -100.41 | 9.2 | 1.000 |
| 5 | -31.58 | 5.3 | 2.826 |
| 6 | -74.74 | 27.9 | 0.001 |